Record 1
A relaxed LaNb2Ir2 crystal. Source: the Alexandria database, functional PBE.

Cell: 4.508 4.508 6.175 Å, 68.59 68.59 90.00°
Sites, in units of the cell vectors:
1 Ir 0.372 0.372 0.255
2 Nb 0.750 0.250 0.500
3 Nb 0.250 0.750 0.500
4 La 0.000 0.000 0.000
5 Ir 0.628 0.628 0.745

Computed properties:
For the relative energy among the computed polymorphs, the calculation gives 0 meV per atom. The value obtained for the total magnetization is 0.000 Bohr magnetons per cell. The calculation puts the formation enthalpy at 0 K at -0.55 eV per atom. For the density, the calculation gives 10.96 Mg/m³. Its crystal system is tetragonal.


Record 2
A relaxed Tb3PmNd2P6 crystal. Source: the Alexandria database, functional PBE.

Cell: 4.094 8.182 9.149 Å, 102.91 102.93 90.00°
Sites, in units of the cell vectors:
1 Nd 0.834 0.667 0.667
2 Tb 0.500 0.500 0.000
3 Tb 0.833 0.167 0.667
4 P 0.335 0.412 0.670
5 P 0.332 0.922 0.664
6 Nd 0.166 0.333 0.333
7 P 0.998 0.253 0.996
8 Pm 0.500 0.000 0.000
9 P 0.002 0.747 0.004
10 P 0.668 0.078 0.336
11 Tb 0.167 0.833 0.333
12 P 0.665 0.588 0.330

Computed properties:
The value obtained for the total magnetization is 0.000 Bohr magnetons per cell. The calculation puts the formation enthalpy at 0 K at -1.57 eV per atom. For the density, the calculation gives 6.26 Mg/m³. Its crystal system is monoclinic.


Record 3
A relaxed ScTa2Ag crystal. Source: the Alexandria database, functional PBE.

Cell: 2.835 2.835 9.626 Å, 90.00 90.00 102.94°
Sites, in units of the cell vectors:
1 Ag 0.500 0.500 0.250
2 Sc 0.500 0.500 0.750
3 Ta 0.000 0.000 0.004
4 Ta 0.000 0.000 0.496

Computed properties:
For the relative energy among the computed polymorphs, the calculation gives 180 meV per atom. The value obtained for the total magnetization is 0.000 Bohr magnetons per cell. The calculation puts the formation enthalpy at 0 K at 0.28 eV per atom. For the density, the calculation gives 11.33 Mg/m³. Its crystal system is orthorhombic.


Record 4
A relaxed CaIr crystal. Source: the Alexandria database, functional PBE.

Cell: 6.160 6.160 7.368 Å, 75.55 75.55 28.48°
Sites, in units of the cell vectors:
1 Ca 0.364 0.364 0.281
2 Ir 0.688 0.688 0.072
3 Ir 0.027 0.027 0.998
4 Ca 0.377 0.377 0.795
5 Ca 0.637 0.637 0.658
6 Ir 0.074 0.074 0.363

Computed properties:
The value obtained for the total magnetization is 0.000 Bohr magnetons per cell. The calculation puts the formation enthalpy at 0 K at 0.03 eV per atom. For the density, the calculation gives 8.98 Mg/m³. Its crystal system is monoclinic.


Record 5
A relaxed Li2ReSi crystal. Source: the Alexandria database, functional PBE.

Cell: 2.716 2.716 8.770 Å, 90.00 90.00 108.59°
Sites, in units of the cell vectors:
1 Si 0.500 0.500 0.736
2 Li 0.000 0.000 0.972
3 Re 0.000 0.000 0.521
4 Li 0.500 0.500 0.270

Computed properties:
As for the formation energy (no corrections): 81 meV per atom. The value obtained for the total magnetization is 0.000 Bohr magnetons per cell. For the density, the calculation gives 6.18 Mg/m³. Its crystal system is orthorhombic.


Record 6
A relaxed Cd4PbF8 crystal. Source: the Alexandria database, functional PBE.

Cell: 7.198 7.198 7.198 Å, 60.00 60.00 60.00°
Sites, in units of the cell vectors:
1 F 0.612 0.163 0.612
2 F 0.147 0.560 0.147
3 Pb 0.750 0.750 0.750
4 F 0.612 0.612 0.163
5 Cd 0.374 0.879 0.374
6 Cd 0.374 0.374 0.374
7 F 0.612 0.612 0.612
8 F 0.560 0.147 0.147
9 F 0.163 0.612 0.612
10 F 0.147 0.147 0.560
11 Cd 0.374 0.374 0.879
12 Cd 0.879 0.374 0.374
13 F 0.147 0.147 0.147

Computed properties:
As for the formation energy (no corrections): -1901 meV per atom. The value obtained for the total magnetization is 0.000 Bohr magnetons per cell. For the density, the calculation gives 5.09 Mg/m³. Its crystal system is cubic.


Record 7
A relaxed In3GaIr crystal. Source: the Alexandria database, functional PBE.

Cell: 6.568 6.568 7.000 Å, 107.12 120.32 98.51°
Sites, in units of the cell vectors:
1 Ir 0.633 0.754 0.387
2 In 0.238 0.385 0.236
3 In 0.762 0.615 0.764
4 Ir 0.367 0.246 0.613
5 Ga 0.689 0.060 0.749
6 In 0.149 0.001 0.764
7 In 0.851 0.999 0.236
8 In 0.273 0.581 0.854
9 Ga 0.311 0.940 0.251
10 In 0.727 0.419 0.146

Computed properties:
For the relative energy among the computed polymorphs, the calculation gives 0 meV per atom. The value obtained for the total magnetization is 0.000 Bohr magnetons per cell. The calculation puts the formation enthalpy at 0 K at -0.08 eV per atom. For the density, the calculation gives 8.66 Mg/m³. Its crystal system is monoclinic.


Record 8
A relaxed Pr2BrO2 crystal. Source: the Alexandria database, functional PBE.

Cell: 3.937 3.937 6.720 Å, 90.00 90.00 90.00°
Last column: magnetic moment on the atom in μB.
Sites, in units of the cell vectors:
1 O 0.500 0.000 0.500  0.00
2 Br 0.000 0.000 0.000  0.00
3 Pr 0.500 0.500 0.709  0.07
4 Pr 0.500 0.500 0.291  0.07
5 O 0.000 0.500 0.500  0.00

Computed properties:
For the relative energy among the computed polymorphs, the calculation gives 480 meV per atom. As for the formation energy (no corrections): -2254 meV per atom. The value obtained for the total magnetization is 0.254 Bohr magnetons per cell. For the density, the calculation gives 6.28 Mg/m³. Its crystal system is tetragonal.


Record 9
A relaxed TmBeAl3Pd crystal. Source: the Alexandria database, functional PBE.

Cell: 5.892 5.961 6.628 Å, 116.73 90.00 90.00°
Sites, in units of the cell vectors:
1 Tm 0.750 0.280 0.560
2 Tm 0.250 0.720 0.440
3 Al 0.000 0.280 0.000
4 Pd 0.250 0.355 0.709
5 Al 0.500 0.280 0.000
6 Al 0.000 0.720 0.000
7 Al 0.750 0.857 0.715
8 Al 0.250 0.143 0.285
9 Al 0.500 0.720 0.000
10 Pd 0.750 0.645 0.291
11 Be 0.250 0.940 0.880
12 Be 0.750 0.060 0.120

Computed properties:
The value obtained for the total magnetization is 0.000 Bohr magnetons per cell. The calculation puts the formation enthalpy at 0 K at -0.26 eV per atom. For the density, the calculation gives 5.84 Mg/m³. Its crystal system is orthorhombic.


Record 10
A relaxed Sr2FeCo crystal. Source: the Alexandria database, functional PBE.

Cell: 5.891 5.891 5.891 Å, 135.42 135.42 64.87°
Last column: magnetic moment on the atom in μB.
Sites, in units of the cell vectors:
1 Sr 0.250 0.750 0.500  -0.11
2 Co 0.500 0.500 0.000  1.52
3 Sr 0.000 0.000 0.000  -0.10
4 Fe 0.750 0.250 0.500  2.79

Computed properties:
For the relative energy among the computed polymorphs, the calculation gives 672 meV per atom. The value obtained for the total magnetization is 3.669 Bohr magnetons per cell. The calculation puts the formation enthalpy at 0 K at 0.87 eV per atom. For the density, the calculation gives 4.85 Mg/m³. Its crystal system is tetragonal.


Record 11
A relaxed AcDy3Pb3 crystal. Source: the Alexandria database, functional PBE.

Cell: 5.564 9.563 9.563 Å, 120.00 90.00 90.00°
Sites, in units of the cell vectors:
1 Dy 0.250 0.771 0.767
2 Dy 0.750 0.229 0.233
3 Dy 0.750 0.767 0.996
4 Dy 0.750 0.004 0.771
5 Pb 0.750 0.925 0.367
6 Pb 0.750 0.633 0.558
7 Ac 0.250 0.667 0.333
8 Pb 0.750 0.442 0.075
9 Pb 0.250 0.075 0.633
10 Dy 0.250 0.996 0.229
11 Pb 0.250 0.558 0.925
12 Pb 0.250 0.367 0.442
13 Ac 0.750 0.333 0.667
14 Dy 0.250 0.233 0.004

Computed properties:
The value obtained for the total magnetization is 0.000 Bohr magnetons per cell. The calculation puts the formation enthalpy at 0 K at -0.38 eV per atom. For the density, the calculation gives 10.07 Mg/m³. Its crystal system is hexagonal.


Record 12
A relaxed K4TbPa3O12 crystal. Source: the Alexandria database, functional PBE.

Cell: 7.605 7.605 7.605 Å, 109.47 109.47 109.47°
Sites, in units of the cell vectors:
1 Pa 0.000 0.500 0.500
2 O 0.750 0.500 0.250
3 O 0.500 0.250 0.750
4 K 0.500 0.000 0.000
5 O 0.250 0.750 0.500
6 O 0.261 0.261 0.000
7 K 0.000 0.500 0.000
8 K 0.000 0.000 0.500
9 O 0.739 0.739 0.000
10 O 0.261 0.000 0.261
11 Tb 0.000 0.000 0.000
12 Pa 0.500 0.500 0.000
13 O 0.250 0.500 0.750
14 K 0.500 0.500 0.500
15 Pa 0.500 0.000 0.500
16 O 0.739 0.000 0.739
17 O 0.750 0.250 0.500
18 O 0.500 0.750 0.250
19 O 0.000 0.261 0.261
20 O 0.000 0.739 0.739

Computed properties:
As for the formation energy (no corrections): -2855 meV per atom. The value obtained for the total magnetization is 0.002 Bohr magnetons per cell. For the density, the calculation gives 5.89 Mg/m³. Its crystal system is cubic.


Q: Which of these has the highest total magnetization?
A: Sr2FeCo


Q: Among the records above, which one has the highest total magnetization?
A: Sr2FeCo